No. 1
The following is a GGA-PBEsol calculation of crystalline SrIn2Br at its relaxed geometry, from Alexandria.

The structure in POSCAR format:
```
SrIn2Br
1.0
-2.955 0.852 -1.947
-0.860 -2.563 2.437
-2.242 6.834 6.395
Sr Br In
1 1 2
Direct
0.500 0.500 0.500
0.500 0.500 0.000
0.000 0.000 0.229
0.000 0.000 0.771
```

Calculated values
Its space group is No. 65. For the uncorrected formation energy, the calculation gives -0.2409 eV/atom.



No. 2
The following is a GGA-PBEsol calculation of crystalline InHgPb2 at its relaxed geometry, from Alexandria.

The structure in POSCAR format:
```
InHgPb2
1.0
3.964 0.000 0.000
0.000 3.964 0.000
0.000 0.000 6.836
Pb Hg In
2 1 1
Direct
0.000 0.000 0.755
0.000 0.000 0.245
0.500 0.500 0.000
0.500 0.500 0.500
```

Calculated values
Its space group is No. 123. The value obtained for the energy relative to the elements is 0.109 eV/f.u.



no.,DOS(E_F) (states/eV/cell),relative energy among the computed polymorphs (eV/f.u.),VASP energy (eV per atom)
1,2.237,1.846,-2.66
2,2.112,0.112,-2.86